1.
4
Lattice="1.919 1.108 7.352 -1.919 1.108 7.352 0.000 -2.216 7.352" Properties=species:S:1:pos:R:3 comment="PBE Tm2NiCl, optimized geometry" de_polymorph_ev_per_fu=0.127 formation_energy_uncorrected_ev_per_atom=-0.888 sg=R3m dft_energy_ev_per_cell=-20.12 pbc="T T T"
Tm 0.000 0.000 0.000
Tm 0.000 0.000 4.518
Ni 0.000 0.000 13.298
Cl 0.000 0.000 17.077


2.
4
Lattice="4.321 0.000 0.000 0.000 4.681 0.000 0.000 0.000 4.985" Properties=species:S:1:pos:R:3 comment="PBE BaFe2Se, optimized geometry" formation_energy_uncorrected_ev_per_atom=0.033 sg=Pmmm dft_energy_ev_per_cell=-22.20 pbc="T T T"
Ba 0.000 0.000 0.000
Fe 2.161 1.104 2.493
Fe 2.161 3.577 2.493
Se 0.000 2.341 2.493


3.
4
Lattice="0.000 3.712 3.712 3.712 0.000 3.712 3.712 3.712 0.000" Properties=species:S:1:pos:R:3 comment="PBE SmGdHgAu, optimized geometry" ef_ev_per_atom=-0.636 sg=F-43m dft_energy_ev_per_cell=-24.92 pbc="T T T"
Sm 0.000 0.000 0.000
Gd 3.712 3.712 3.712
Hg 1.856 1.856 1.856
Au 5.568 5.568 5.568


4.
12
Lattice="5.965 0.000 0.000 0.000 5.490 0.000 -2.996 0.000 7.409" Properties=species:S:1:pos:R:3 comment="PBE LiCaRh, optimized geometry" de_polymorph_ev_per_fu=0.102 ef_ev_per_atom=-0.231 sg=P2_1/c dft_energy_ev_per_cell=-47.84 pbc="T T T"
Li -0.088 0.642 1.561
Li -1.586 2.103 5.266
Li 4.555 3.387 2.143
Li 3.057 4.847 5.848
Ca 1.532 3.374 0.979
Ca 0.034 4.860 4.683
Ca 2.936 0.629 2.726
Ca 1.437 2.115 6.430
Rh -1.173 0.563 7.289
Rh 0.326 2.182 3.584
Rh 2.644 3.308 3.825
Rh 4.142 4.927 0.120